This record from the Alexandria database describes NdEuTlGe after structural relaxation. The functional is PBE.

```
NdEuTlGe
1.0
5.4078 0.0000 0.0000
2.7039 4.6833 0.0000
2.7039 1.5611 4.4155
Eu Tl Nd Ge
1 1 1 1
Direct
0.0000 0.0000 0.0000
0.7500 0.7500 0.7500
0.5000 0.5000 0.5000
0.2500 0.2500 0.2500
```

DOS(E_F), states/eV per cell: 2.32
Calculated formation energy, eV per atom: -0.45
Volume, A^3/atom: 27.96

---

This record from the Alexandria database describes EuNiGe3 after structural relaxation. The functional is PBE.

```
EuNiGe3
1.0
-1.2687 -4.1478 0.4400
4.0724 -1.1334 1.0668
-2.4269 3.4622 4.0293
Ni Ge Eu
1 3 1
Direct
0.3515 0.3515 0.7029
0.5870 0.5870 0.1747
0.2533 0.7535 0.5067
0.7535 0.2533 0.5067
0.0068 0.0068 0.0136
```

DOS(E_F), states/eV per cell: 4.88
Calculated formation energy, eV per atom: -0.53
Volume, A^3/atom: 18.85

---

This record from the Alexandria database describes EuNiGe2 after structural relaxation. The functional is PBE.

```
EuNiGe2
1.0
-4.1563 0.9025 0.6475
-0.2988 -3.2613 2.6277
4.1976 4.6057 6.1935
Ge Eu Ni
4 2 2
Direct
0.5431 0.2500 0.0862
0.7506 0.7500 0.5007
0.2494 0.2500 0.4993
0.4569 0.7500 0.9138
0.8919 0.2500 0.7840
0.1081 0.7500 0.2160
0.3197 0.7500 0.6382
0.6803 0.2500 0.3618
```

DOS(E_F), states/eV per cell: 6.18
Calculated formation energy, eV per atom: -0.61
Volume, A^3/atom: 19.23

---

This record from the Alexandria database describes EuNi2Ge2 after structural relaxation. The functional is PBE.

```
EuNi2Ge2
1.0
-3.5341 -3.3511 3.2169
1.9375 -5.0955 2.0858
1.7291 5.5702 -0.2256
Ni Ge Eu
2 2 1
Direct
0.2500 0.7500 0.5000
0.7500 0.2500 0.5000
0.6339 0.6339 0.0000
0.3661 0.3661 0.0000
0.0000 0.0000 0.0000
```

DOS(E_F), states/eV per cell: 9.85
Calculated formation energy, eV per atom: -0.58
Volume, A^3/atom: 17.30

---

This record from the Alexandria database describes EuNi4Ge after structural relaxation. The functional is PBE.

```
EuNi4Ge
1.0
-4.8462 -0.0064 1.0188
-1.6255 -1.8604 4.2919
-1.8016 3.0224 3.4847
Ni Ge Eu
4 1 1
Direct
0.6237 0.6237 0.6237
0.1288 0.6237 0.6237
0.6237 0.1288 0.6237
0.6237 0.6237 0.1288
0.2500 0.2500 0.2500
0.0000 0.0000 0.0000
```

DOS(E_F), states/eV per cell: 10.86
Calculated formation energy, eV per atom: -0.15
Volume, A^3/atom: 14.31

---

This record from the Alexandria database describes EuSiNi2Ge after structural relaxation. The functional is PBE.

```
EuSiNi2Ge
1.0
5.7504 -0.0023 0.0000
2.8538 4.9923 0.0000
-4.3021 -2.4950 2.8869
Si Ni Ge Eu
1 2 1 1
Direct
0.3633 0.3633 0.0000
0.7544 0.2544 0.5000
0.2544 0.7544 0.5000
0.6289 0.6289 0.0000
0.9990 0.9990 0.0000
```

DOS(E_F), states/eV per cell: 9.78
ΔE_f (raw), meV per atom: -623
Volume, A^3/atom: 16.58

---

This record from the Alexandria database describes EuYNiGe after structural relaxation. The functional is PBE.

```
EuYNiGe
1.0
5.0180 0.0000 0.0000
2.5090 4.3457 0.0000
2.5090 1.4486 4.0971
Ni Ge Eu Y
1 1 1 1
Direct
0.2500 0.2500 0.2500
0.7500 0.7500 0.7500
0.0000 0.0000 0.0000
0.5000 0.5000 0.5000
```

DOS(E_F), states/eV per cell: 10.41
Calculated formation energy, eV per atom: -0.40
Volume, A^3/atom: 22.34

---

This record from the Alexandria database describes Eu2GeO5 after structural relaxation. The functional is PBE.

```
Eu2GeO5
1.0
7.2196 0.0000 0.0000
0.0000 6.9493 0.0338
0.0000 2.5828 9.2105
O Ge Eu
20 4 8
Direct
0.0878 0.3284 0.2199
0.6315 0.9972 0.3870
0.5555 0.7802 0.8985
0.8835 0.0709 0.6030
0.5878 0.1716 0.7801
0.7062 0.4855 0.1139
0.4122 0.8284 0.2199
0.2062 0.0145 0.8861
0.1315 0.5028 0.6130
0.4445 0.2198 0.1015
0.3685 0.0028 0.6130
0.8685 0.4972 0.3870
0.9445 0.2802 0.8985
0.9122 0.6716 0.7801
0.6165 0.5709 0.6030
0.7938 0.9855 0.1139
0.1165 0.9291 0.3970
0.2938 0.5145 0.8861
0.0555 0.7198 0.1015
0.3835 0.4291 0.3970
0.9121 0.5199 0.1985
0.0879 0.4801 0.8015
0.4121 0.9801 0.8015
0.5879 0.0199 0.1985
0.8696 0.7644 0.5159
0.1343 0.0525 0.1277
0.6304 0.2644 0.5159
0.3696 0.7356 0.4841
0.6343 0.4475 0.8723
0.1304 0.2356 0.4841
0.8657 0.9475 0.8723
0.3657 0.5525 0.1277
```

DOS(E_F), states/eV per cell: 57.73
ΔE_f (raw), meV per atom: -2374
Volume, A^3/atom: 14.42

---

Question: Which of these has the lowest volume?
Answer: EuNi4Ge

---

Repeat the eighth record exactly.
This record from the Alexandria database describes Eu2GeO5 after structural relaxation. The functional is PBE.

```
Eu2GeO5
1.0
7.2196 0.0000 0.0000
0.0000 6.9493 0.0338
0.0000 2.5828 9.2105
O Ge Eu
20 4 8
Direct
0.0878 0.3284 0.2199
0.6315 0.9972 0.3870
0.5555 0.7802 0.8985
0.8835 0.0709 0.6030
0.5878 0.1716 0.7801
0.7062 0.4855 0.1139
0.4122 0.8284 0.2199
0.2062 0.0145 0.8861
0.1315 0.5028 0.6130
0.4445 0.2198 0.1015
0.3685 0.0028 0.6130
0.8685 0.4972 0.3870
0.9445 0.2802 0.8985
0.9122 0.6716 0.7801
0.6165 0.5709 0.6030
0.7938 0.9855 0.1139
0.1165 0.9291 0.3970
0.2938 0.5145 0.8861
0.0555 0.7198 0.1015
0.3835 0.4291 0.3970
0.9121 0.5199 0.1985
0.0879 0.4801 0.8015
0.4121 0.9801 0.8015
0.5879 0.0199 0.1985
0.8696 0.7644 0.5159
0.1343 0.0525 0.1277
0.6304 0.2644 0.5159
0.3696 0.7356 0.4841
0.6343 0.4475 0.8723
0.1304 0.2356 0.4841
0.8657 0.9475 0.8723
0.3657 0.5525 0.1277
```

DOS(E_F), states/eV per cell: 57.73
ΔE_f (raw), meV per atom: -2374
Volume, A^3/atom: 14.42

---

Question: What is the DOS(E_F) in the third record?
Answer: 6.18 states/eV per cell